This record from Alexandria describes a geometry-optimized GaHRh3 structure. The functional is PBE-GGA.

Unit cell a=5.250 b=5.560 c=5.558 alpha=120.04 beta=74.28 gamma=75.04
Atoms (fractional coordinates):
Rh1 0.079 0.224 0.424
Rh2 0.065 0.221 0.947
Rh3 0.571 0.634 0.522
Rh4 0.582 0.638 0.007
Rh5 0.583 0.137 0.503
Ga1 0.085 0.703 0.939
Rh6 0.063 0.719 0.447
Ga2 0.557 0.145 0.026
H1 0.846 0.185 0.697
H2 0.365 0.908 0.455

E above lowest polymorph: 0.0651 eV per atom